# 1
Below is an optimized crystal structure of Pr, with properties calculated at the PBEsol level.

- Fermi-level density of states: 5.217 states/eV/cell
- Spin magnetization: 0.00 μB/cell
- Energy above the lowest structure with this stoichiometry: 0.0 meV per atom
- Formation enthalpy at 0 K: 0 meV per atom

abc: 3.6467 3.6467 11.7660
angles: 90.00 90.00 120.00
Space group P6_3/mmc (No. 194)
Unique sites:
Pr (0.0000, 0.0000, 0.0000) [2 per cell]
Pr (0.3333, 0.6667, 0.2500) [2 per cell]

# 2
Below is an optimized crystal structure of BeAlFe2, with properties calculated at the PBEsol level.

- Fermi-level density of states: 9.120 states/eV/cell
- Spin magnetization: 15.24 μB/cell
- Formation enthalpy at 0 K: 347 meV per atom

abc: 3.398 3.398 16.469
angles: 90.00 90.00 90.00
Space group I-42d (No. 122)
Unique sites:
Be (0.000, 0.000, 0.000) [4 per cell]
Al (0.000, 0.000, 0.500) [4 per cell]
Fe (0.231, 0.250, 0.125) [8 per cell]

# 3
Below is an optimized crystal structure of Dy2OsPd, with properties calculated at the PBEsol level.

- Fermi-level density of states: 6.081 states/eV/cell
- Spin magnetization: 0.00 μB/cell
- Formation enthalpy at 0 K: -534 meV per atom

abc: 6.782 6.782 6.782
angles: 90.00 90.00 90.00
Space group Fm-3m (No. 225)
Unique sites:
Dy (0.250, 0.250, 0.250) [8 per cell]
Os (0.000, 0.000, 0.000) [4 per cell]
Pd (0.000, 0.000, 0.500) [4 per cell]

# 4
Below is an optimized crystal structure of Ca2ZnOs, with properties calculated at the PBEsol level.

- Fermi-level density of states: 5.056 states/eV/cell
- Spin magnetization: 0.00 μB/cell
- Formation enthalpy at 0 K: 353 meV per atom

abc: 6.750 6.750 6.750
angles: 90.00 90.00 90.00
Space group F-43m (No. 216)
Unique sites:
Ca (0.000, 0.000, 0.000) [4 per cell]
Ca (0.250, 0.250, 0.250) [4 per cell]
Zn (0.000, 0.000, 0.500) [4 per cell]
Os (0.250, 0.250, 0.750) [4 per cell]